Hg3Cl PBE-GGA optimized geometry; magnetic moment = 0.0 μB per cell; VASP energy = -0.79 eV/atom
1.0
3.626 0.000 0.000
0.000 3.626 0.000
0.000 0.000 7.782
Hg Cl
3 1
Direct
0.000 0.000 0.000
0.500 0.500 0.252
0.500 0.500 0.748
0.000 0.000 0.500


HgCl2 PBE-GGA optimized geometry; magnetic moment = 0.0 μB per cell; VASP energy = -1.93 eV/atom
1.0
13.495 0.000 0.000
0.000 6.518 0.000
0.000 0.000 4.302
Hg Cl
4 8
Direct
0.143 0.250 0.046
0.357 0.750 0.546
0.643 0.250 0.454
0.857 0.750 0.954
0.010 0.250 0.706
0.220 0.750 0.877
0.280 0.250 0.377
0.490 0.750 0.206
0.510 0.250 0.794
0.720 0.750 0.623
0.780 0.250 0.123
0.990 0.750 0.294


Hg3Cl PBE-GGA optimized geometry; magnetic moment = 0.0 μB per cell; VASP energy = -0.83 eV/atom
1.0
5.625 0.000 0.000
0.000 5.991 0.000
0.000 0.000 6.870
Hg Cl
6 2
Direct
0.001 0.250 0.157
0.250 0.250 0.670
0.499 0.250 0.157
0.501 0.750 0.843
0.750 0.750 0.330
0.999 0.750 0.843
0.250 0.750 0.357
0.750 0.250 0.643